Compound: SmZn11Cu
Source: the Alexandria database
Functional: PBE-GGA
Structure: optimized geometry

Computed properties:
E_form in meV per atom: -194

a b c (Å): 5.2005 6.7913 6.7970
angles (deg): 81.66 67.51 67.72
Element x y z (fractional)
Cu  0.5000  0.5000  0.0000
Zn  0.3642  0.6431  0.6491
Zn  0.0000  0.0000  0.5000
Zn  0.5000  0.0000  0.5000
Zn  0.9868  0.3569  0.6491
Zn  0.5023  0.2221  0.7822
Zn  0.2844  0.2221  0.2178
Zn  0.4977  0.7779  0.2178
Zn  0.0132  0.6431  0.3509
Zn  0.6358  0.3569  0.3509
Zn  0.0000  0.5000  0.0000
Zn  0.7156  0.7779  0.7822
Sm  0.0000  0.0000  0.0000

---

Compound: Sm3Zn4Cu4
Source: the Alexandria database
Functional: PBE-GGA
Structure: optimized geometry

Computed properties:
ΔE to the lowest computed polymorph in eV per atom: 0.004
E_form in meV per atom: -262

a b c (Å): 4.2286 7.0334 8.0662
angles (deg): 115.85 105.20 90.00
Element x y z (fractional)
Cu  0.5000  0.1794  0.0000
Cu  0.2174  0.7174  0.4348
Cu  0.5000  0.8206  0.0000
Cu  0.7826  0.2826  0.5652
Sm  0.8705  0.8705  0.7411
Sm  0.0000  0.5000  0.0000
Sm  0.1295  0.1295  0.2589
Zn  0.6698  0.8578  0.3396
Zn  0.6698  0.4818  0.3396
Zn  0.3302  0.1422  0.6604
Zn  0.3302  0.5182  0.6604

---

| no. | magnetic moment (μB/f.u.) |
| --- | --- |
| 1 | 0.0 |
| 2 | 0.0 |